Record 1
! MnSi4Ru | the Alexandria database | GGA-PBEsol | relaxed; values from VASP
! Formation energy from raw total energies ... 0.3524 eV per atom
&SYSTEM
  ibrav = 0, nat = 6, ntyp = 3
/
ATOMIC_SPECIES
Mn 54.94 Mn.upf
Si 28.09 Si.upf
Ru 101.07 Ru.upf
ATOMIC_POSITIONS crystal
Mn 0.0000 0.0000 0.0000
Si 0.3750 0.3750 0.3750
Si 0.3750 0.3750 0.8750
Si 0.3750 0.8750 0.3750
Si 0.8750 0.3750 0.3750
Ru 0.7500 0.7500 0.7500
CELL_PARAMETERS angstrom
0.0000 3.3735 3.3735
3.3735 0.0000 3.3735
3.3735 3.3735 0.0000



Record 2
! NbRh3 | the Alexandria database | GGA-PBEsol | relaxed; values from VASP
! Energy of formation from the pure elements ... -0.51 eV/atom
&SYSTEM
  ibrav = 0, nat = 8, ntyp = 2
/
ATOMIC_SPECIES
Nb 92.91 Nb.upf
Rh 102.91 Rh.upf
ATOMIC_POSITIONS crystal
Nb 0.3333 0.6667 0.2500
Nb 0.6667 0.3333 0.7500
Rh 0.1636 0.3273 0.7500
Rh 0.1636 0.8364 0.7500
Rh 0.3273 0.1636 0.2500
Rh 0.6727 0.8364 0.7500
Rh 0.8364 0.1636 0.2500
Rh 0.8364 0.6727 0.2500
CELL_PARAMETERS angstrom
5.4809 0.0000 0.0000
-2.7404 4.7466 0.0000
0.0000 0.0000 4.3865



Record 3
! BaSnAs2 | the Alexandria database | GGA-PBEsol | relaxed; values from VASP
! Energy of formation from the pure elements ... -0.55 eV/atom
&SYSTEM
  ibrav = 0, nat = 16, ntyp = 3
/
ATOMIC_SPECIES
Ba 137.33 Ba.upf
Sn 118.71 Sn.upf
As 74.92 As.upf
ATOMIC_POSITIONS crystal
Ba 0.0000 0.0000 0.0000
Ba 0.0000 0.5000 0.2500
Ba 0.5000 0.0000 0.7500
Ba 0.5000 0.5000 0.5000
Sn 0.0000 0.0000 0.5000
Sn 0.0000 0.5000 0.7500
Sn 0.5000 0.0000 0.2500
Sn 0.5000 0.5000 0.0000
As 0.1822 0.7500 0.6250
As 0.2500 0.1822 0.3750
As 0.2500 0.3178 0.8750
As 0.3178 0.7500 0.1250
As 0.6822 0.2500 0.1250
As 0.7500 0.6822 0.8750
As 0.7500 0.8178 0.3750
As 0.8178 0.2500 0.6250
CELL_PARAMETERS angstrom
7.6931 0.0000 0.0000
0.0000 7.6931 0.0000
0.0000 0.0000 8.2983



Record 4
! Sr2FeMo | the Alexandria database | GGA-PBEsol | relaxed; values from VASP
! Energy of formation from the pure elements ... 1.35 eV/atom
&SYSTEM
  ibrav = 0, nat = 12, ntyp = 3
/
ATOMIC_SPECIES
Sr 87.62 Sr.upf
Fe 55.84 Fe.upf
Mo 95.94 Mo.upf
ATOMIC_POSITIONS crystal
Sr 0.0000 0.0000 0.2476
Sr 0.0000 0.0000 0.7524
Sr 0.3333 0.6667 0.4191
Sr 0.3333 0.6667 0.9143
Sr 0.6667 0.3333 0.0857
Sr 0.6667 0.3333 0.5809
Fe 0.0000 0.0000 0.5000
Fe 0.3333 0.6667 0.1667
Fe 0.6667 0.3333 0.8333
Mo 0.0000 0.0000 0.0000
Mo 0.3333 0.6667 0.6667
Mo 0.6667 0.3333 0.3333
CELL_PARAMETERS angstrom
3.1612 0.0000 0.0000
-1.5806 2.7377 0.0000
0.0000 0.0000 31.0035



Record 5
! SrMn | the Alexandria database | GGA-PBEsol | relaxed; values from VASP
! Energy of formation from the pure elements ... 1.06 eV/atom
&SYSTEM
  ibrav = 0, nat = 2, ntyp = 2
/
ATOMIC_SPECIES
Sr 87.62 Sr.upf
Mn 54.94 Mn.upf
ATOMIC_POSITIONS crystal
Sr 0.0000 0.0000 0.0000
Mn 0.6667 0.3333 0.5000
CELL_PARAMETERS angstrom
3.8172 0.0000 0.0000
-1.9086 3.3058 0.0000
0.0000 0.0000 4.8394



Record 6
! MoAuCl3 | the Alexandria database | GGA-PBEsol | relaxed; values from VASP
! Formation energy from raw total energies ... 0.6893 eV per atom
&SYSTEM
  ibrav = 0, nat = 5, ntyp = 3
/
ATOMIC_SPECIES
Mo 95.94 Mo.upf
Au 196.97 Au.upf
Cl 35.45 Cl.upf
ATOMIC_POSITIONS crystal
Mo 0.0000 0.0000 0.0000
Au 0.5000 0.5000 0.5000
Cl 0.0000 0.5000 0.5000
Cl 0.5000 0.0000 0.5000
Cl 0.5000 0.5000 0.0000
CELL_PARAMETERS angstrom
4.9429 0.0000 0.0000
0.0000 4.9429 0.0000
0.0000 0.0000 4.9429



Record 7
! Cr3C | the Alexandria database | GGA-PBEsol | relaxed; values from VASP
! Energy of formation from the pure elements ... 0.72 eV/atom
&SYSTEM
  ibrav = 0, nat = 16, ntyp = 2
/
ATOMIC_SPECIES
Cr 52.00 Cr.upf
C 12.01 C.upf
ATOMIC_POSITIONS crystal
Cr 0.0000 0.0000 0.0000
Cr 0.0000 0.5000 0.5000
Cr 0.2500 0.2500 0.2500
Cr 0.2500 0.2500 0.7500
Cr 0.2500 0.7500 0.2500
Cr 0.2500 0.7500 0.7500
Cr 0.5000 0.0000 0.5000
Cr 0.5000 0.5000 0.0000
Cr 0.7500 0.2500 0.2500
Cr 0.7500 0.2500 0.7500
Cr 0.7500 0.7500 0.2500
Cr 0.7500 0.7500 0.7500
C 0.0000 0.0000 0.5000
C 0.0000 0.5000 0.0000
C 0.5000 0.0000 0.0000
C 0.5000 0.5000 0.5000
CELL_PARAMETERS angstrom
5.3216 0.0000 0.0000
0.0000 5.3216 0.0000
0.0000 0.0000 5.3216



Record 8
! Ca2YAu2 | the Alexandria database | GGA-PBEsol | relaxed; values from VASP
! Energy of formation from the pure elements ... -0.67 eV/atom
&SYSTEM
  ibrav = 0, nat = 10, ntyp = 3
/
ATOMIC_SPECIES
Ca 40.08 Ca.upf
Y 88.91 Y.upf
Au 196.97 Au.upf
ATOMIC_POSITIONS crystal
Ca 0.1644 0.3356 0.0000
Ca 0.3356 0.8356 0.0000
Ca 0.6644 0.1644 0.0000
Ca 0.8356 0.6644 0.0000
Y 0.0000 0.0000 0.5000
Y 0.5000 0.5000 0.5000
Au 0.1343 0.6343 0.5000
Au 0.3657 0.1343 0.5000
Au 0.6343 0.8657 0.5000
Au 0.8657 0.3657 0.5000
CELL_PARAMETERS angstrom
7.6483 0.0000 0.0000
0.0000 7.6483 0.0000
0.0000 0.0000 4.3579